Record 1
Here is a relaxed structure of Sc2SbAsW from Alexandria. Energies are from PBE.

Calculated values
DOS at the Fermi energy (states/eV/cell): 5.9
ΔE_f (raw) (eV per atom): 0.13
VASP energy (eV for the cell shown): -33.73

Structure (CIF):
```
data_Sc2SbAsW
_cell_length_a 5.005
_cell_length_b 5.005
_cell_length_c 4.655
_cell_angle_alpha 90.00
_cell_angle_beta 90.00
_cell_angle_gamma 90.00
_symmetry_space_group_name_H-M 'P 4/m m m'
_symmetry_Int_Tables_number 123
_symmetry_space_group_name_Hall '-P 4 2'
loop_
_atom_site_label
_atom_site_fract_x
_atom_site_fract_y
_atom_site_fract_z
_atom_site_occupancy
Sc1 0.000 0.500 0.000 1
Sb1 0.000 0.000 0.500 1
As1 0.500 0.500 0.000 1
W1 0.500 0.500 0.500 1
```


Record 2
Here is a relaxed structure of CdSbTe2N from Alexandria. Energies are from PBE.

Calculated values
Energy above the most stable polymorph in this dataset (eV/atom): 0.0723
DOS at the Fermi energy (states/eV/cell): 3.5
ΔE_f (raw) (eV per atom): 0.71
VASP energy (eV for the cell shown): -16.10

Structure (CIF):
```
data_CdSbTe2N
_cell_length_a 5.920
_cell_length_b 5.920
_cell_length_c 3.925
_cell_angle_alpha 90.00
_cell_angle_beta 90.00
_cell_angle_gamma 90.00
_symmetry_space_group_name_H-M 'P 4/m m m'
_symmetry_Int_Tables_number 123
_symmetry_space_group_name_Hall '-P 4 2'
loop_
_atom_site_label
_atom_site_fract_x
_atom_site_fract_y
_atom_site_fract_z
_atom_site_occupancy
Cd1 0.000 0.000 0.000 1
Sb1 0.500 0.500 0.500 1
Te1 0.000 0.500 0.500 1
N1 0.500 0.500 0.000 1
```


Record 3
Here is a relaxed structure of OsRu4 from Alexandria. Energies are from PBE.

Calculated values
Energy above the most stable polymorph in this dataset (eV/atom): 1.3218
DOS at the Fermi energy (states/eV/cell): 19.7
VASP energy (eV for the cell shown): -82.35

Structure (CIF):
```
data_OsRu4
_cell_length_a 5.659
_cell_length_b 5.659
_cell_length_c 5.659
_cell_angle_alpha 90.00
_cell_angle_beta 90.00
_cell_angle_gamma 90.00
_symmetry_space_group_name_H-M 'I m -3 m'
_symmetry_Int_Tables_number 229
_symmetry_space_group_name_Hall '-I 4 2 3'
loop_
_atom_site_label
_atom_site_fract_x
_atom_site_fract_y
_atom_site_fract_z
_atom_site_occupancy
Os1 0.000 0.000 0.000 1
Ru1 0.250 0.250 0.250 1
```


Record 4
Here is a relaxed structure of NdPu2Pb from Alexandria. Energies are from PBE.

Calculated values
DOS at the Fermi energy (states/eV/cell): 10.9
VASP energy (eV for the cell shown): -37.75

Structure (CIF):
```
data_NdPu2Pb
_cell_length_a 4.673
_cell_length_b 4.673
_cell_length_c 5.238
_cell_angle_alpha 90.00
_cell_angle_beta 90.00
_cell_angle_gamma 90.00
_symmetry_space_group_name_H-M 'P 4/m m m'
_symmetry_Int_Tables_number 123
_symmetry_space_group_name_Hall '-P 4 2'
loop_
_atom_site_label
_atom_site_fract_x
_atom_site_fract_y
_atom_site_fract_z
_atom_site_occupancy
Nd1 0.000 0.000 0.000 1
Pu1 0.000 0.500 0.500 1
Pb1 0.500 0.500 0.000 1
```